Model w:
The following is a PBE calculation of K3ScO after structural relaxation, from Alexandria.

a = 6.9237 Å, b = 6.9237 Å, c = 6.9237 Å
α = 90.00°, β = 90.00°, γ = 90.00°
Last column: nearest neighbours and their distance in Å.
Space group Pm-3m (No. 221)
Asymmetric unit:
K 0.0000 0.0000 0.5000 (multiplicity 3)  2 Sc 3.46
Sc 0.0000 0.0000 0.0000 (multiplicity 1)  6 K 3.46
O 0.5000 0.5000 0.5000 (multiplicity 1)  12 K 4.90

## Properties
As for the volume: 66.4 Å³/atom. The theoretical density is 0.9 Mg/m³. The calculation puts the magnetic moment at 0.400 μB per atom.

Model x:
The following is a PBE calculation of K3ScO after structural relaxation, from Alexandria.

a = 5.5816 Å, b = 5.5816 Å, c = 5.5816 Å
α = 90.00°, β = 90.00°, γ = 90.00°
Last column: nearest neighbours and their distance in Å.
Space group Pm-3m (No. 221)
Asymmetric unit:
K 0.0000 0.0000 0.5000 (multiplicity 3)  2 O 2.79
Sc 0.5000 0.5000 0.5000 (multiplicity 1)  12 K 3.95
O 0.0000 0.0000 0.0000 (multiplicity 1)  6 K 2.79

## Properties
As for the volume: 34.8 Å³/atom. The theoretical density is 1.7 Mg/m³. The calculation puts the magnetic moment at 0.389 μB per atom.

In terms of stability, model x leads; the second structure lies 100.1 kJ/mol of atoms higher.

Model w:
The following is a PBE calculation of K2SeO after structural relaxation, from Alexandria.

a = 6.5422 Å, b = 5.1292 Å, c = 7.3263 Å
α = 90.00°, β = 108.76°, γ = 90.00°
Last column: nearest neighbours and their distance in Å.
Space group P2/m (No. 10)
Asymmetric unit:
K 0.0000 0.0000 0.0000 (multiplicity 1)  4 O 2.67
K 0.2056 0.5000 0.3533 (multiplicity 2)  2 O 2.61-2.63
K 0.5000 0.5000 0.0000 (multiplicity 1)  2 O 2.54
Se 0.4329 0.0000 0.6382 (multiplicity 2)  1 Se 2.45
O 0.1043 0.5000 0.9763 (multiplicity 2)  1 O 1.51

## Properties
As for the volume: 29.1 Å³/atom. The theoretical density is 2.5 Mg/m³. The calculation puts the magnetic moment at 0.009 μB per atom.

Model x:
The following is a PBE calculation of K2SeO after structural relaxation, from Alexandria.

a = 10.5350 Å, b = 10.5350 Å, c = 4.3713 Å
α = 90.00°, β = 90.00°, γ = 90.00°
Last column: nearest neighbours and their distance in Å.
Space group I-42d (No. 122)
Asymmetric unit:
K 0.0271 0.2500 0.1250 (multiplicity 8)  2 O 2.70
Se 0.0000 0.0000 0.5000 (multiplicity 4)  2 O 2.19
O 0.0000 0.0000 0.0000 (multiplicity 4)  2 Se 2.19

## Properties
As for the volume: 30.3 Å³/atom. The theoretical density is 2.4 Mg/m³. The calculation puts the magnetic moment at 0.000 μB per atom.

In terms of stability, model w leads; the second structure lies 13.5 kJ/mol of atoms higher.